Compound: Na3Ca3IO8
Source: the Alexandria database
Functional: PBE
Structure: optimized geometry

a = 6.8001 Å, b = 6.8001 Å, c = 6.8001 Å
α = 60.39°, β = 60.39°, γ = 60.39°
Last column: nearest neighbours and their distance in Å.
Atoms (fractional coordinates):
Na (0.0000, 0.5000, 0.5000)  6 O 2.46-2.56
Na (0.5000, 0.0000, 0.5000)  6 O 2.46-2.56
Na (0.5000, 0.5000, 0.0000)  6 O 2.46-2.56
Ca (0.0000, 0.0000, 0.5000)  6 O 2.28-2.46
Ca (0.0000, 0.5000, 0.0000)  6 O 2.28-2.46
Ca (0.5000, 0.0000, 0.0000)  6 O 2.28-2.46
I (0.5000, 0.5000, 0.5000)  6 O 1.92
O (0.2355, 0.2355, 0.2355)  3 Ca 2.28
O (0.2991, 0.6994, 0.6994)  1 I 1.92
O (0.3006, 0.3006, 0.7009)  1 I 1.92
O (0.3006, 0.7009, 0.3006)  1 I 1.92
O (0.6994, 0.2991, 0.6994)  1 I 1.92
O (0.6994, 0.6994, 0.2991)  1 I 1.92
O (0.7009, 0.3006, 0.3006)  1 I 1.92
O (0.7645, 0.7645, 0.7645)  3 Ca 2.28

## Properties
* crystal system: trigonal
* size of the total moment: 0.000 μB per atom
* energy: -79.26 eV per cell

---

Compound: NaCaPI2
Source: the Alexandria database
Functional: PBE
Structure: optimized geometry

a = 5.8555 Å, b = 5.8555 Å, c = 5.1765 Å
α = 90.00°, β = 90.00°, γ = 90.00°
Last column: nearest neighbours and their distance in Å.
Atoms (fractional coordinates):
Na (0.0000, 0.0000, 0.0000)  2 P 2.59
Ca (0.5000, 0.5000, 0.0000)  8 I 3.91, 4 Na 4.14
P (0.0000, 0.0000, 0.5000)  2 Na 2.59
I (0.0000, 0.5000, 0.5000)  2 P 2.93
I (0.5000, 0.0000, 0.5000)  2 P 2.93

## Properties
* crystal system: tetragonal
* size of the total moment: 0.012 μB per atom
* energy: -12.48 eV per cell

---

Compound: Na2CaPbI6
Source: the Alexandria database
Functional: PBE
Structure: optimized geometry

a = 8.6715 Å, b = 8.6715 Å, c = 8.6715 Å
α = 55.58°, β = 55.58°, γ = 55.58°
Last column: nearest neighbours and their distance in Å.
Atoms (fractional coordinates):
Na (0.0000, 0.0000, 0.0000)  6 I 3.20-3.29
Na (0.4973, 0.4973, 0.4973)  6 I 3.21-3.30
Ca (0.6885, 0.6885, 0.6885)  6 I 3.15-3.19
Pb (0.1898, 0.1898, 0.1898)  6 I 3.24-3.29
I (0.0853, 0.4151, 0.7839)  1 Ca 3.15, 2 Na 3.21-3.29, 1 Pb 3.29
I (0.2907, 0.9027, 0.5969)  1 Ca 3.19, 2 Na 3.20-3.30, 1 Pb 3.24
I (0.4151, 0.7839, 0.0853)  1 Ca 3.15, 2 Na 3.21-3.29, 1 Pb 3.29
I (0.5969, 0.2907, 0.9027)  1 Ca 3.19, 2 Na 3.20-3.30, 1 Pb 3.24
I (0.7839, 0.0853, 0.4151)  1 Ca 3.15, 2 Na 3.21-3.29, 1 Pb 3.29
I (0.9027, 0.5969, 0.2907)  1 Ca 3.19, 2 Na 3.20-3.30, 1 Pb 3.24

## Properties
* crystal system: trigonal
* size of the total moment: 0.000 μB per atom
* energy: -29.24 eV per cell

---

Compound: NaCaPrI6
Source: the Alexandria database
Functional: PBE
Structure: optimized geometry

a = 7.9671 Å, b = 7.9671 Å, c = 14.5467 Å
α = 90.00°, β = 90.00°, γ = 120.00°
Last column: nearest neighbours and their distance in Å.
Atoms (fractional coordinates):
Na (0.0000, 0.0000, 0.0000)  6 I 3.33
Na (0.0000, 0.0000, 0.5000)  6 I 3.33
Ca (0.3333, 0.6667, 0.2500)  6 I 3.15
Ca (0.6667, 0.3333, 0.7500)  6 I 3.15
Pr (0.3333, 0.6667, 0.7500)  6 I 3.16
Pr (0.6667, 0.3333, 0.2500)  6 I 3.16
I (0.9996, 0.3485, 0.6267)  1 Ca 3.15, 1 Pr 3.16, 1 Na 3.33
I (0.0004, 0.3488, 0.1267)  1 Ca 3.15, 1 Pr 3.16, 1 Na 3.33
I (0.9996, 0.6512, 0.8733)  1 Ca 3.15, 1 Pr 3.16, 1 Na 3.33
I (0.0004, 0.6515, 0.3733)  1 Ca 3.15, 1 Pr 3.16, 1 Na 3.33
I (0.3485, 0.9996, 0.1267)  1 Ca 3.15, 1 Pr 3.16, 1 Na 3.33
I (0.3485, 0.3488, 0.3733)  1 Ca 3.15, 1 Pr 3.16, 1 Na 3.33
I (0.3488, 0.0004, 0.6267)  1 Ca 3.15, 1 Pr 3.16, 1 Na 3.33
I (0.3488, 0.3485, 0.8733)  1 Ca 3.15, 1 Pr 3.16, 1 Na 3.33
I (0.6512, 0.9996, 0.3733)  1 Ca 3.15, 1 Pr 3.16, 1 Na 3.33
I (0.6512, 0.6515, 0.1267)  1 Ca 3.15, 1 Pr 3.16, 1 Na 3.33
I (0.6515, 0.0004, 0.8733)  1 Ca 3.15, 1 Pr 3.16, 1 Na 3.33
I (0.6515, 0.6512, 0.6267)  1 Ca 3.15, 1 Pr 3.16, 1 Na 3.33

## Properties
* crystal system: trigonal
* size of the total moment: 0.000 μB per atom
* energy: -60.62 eV per cell

---

Compound: Rb2NaCaI5
Source: the Alexandria database
Functional: PBE
Structure: optimized geometry

a = 10.7403 Å, b = 10.7403 Å, c = 16.4771 Å
α = 90.00°, β = 90.00°, γ = 154.22°
Last column: nearest neighbours and their distance in Å.
Atoms (fractional coordinates):
Rb (0.0904, 0.9096, 0.5000)  6 I 3.64-3.77
Rb (0.1350, 0.8650, 0.1453)  7 I 3.70-3.95
Rb (0.8650, 0.1350, 0.6453)  7 I 3.70-3.95
Rb (0.9096, 0.0904, 0.0000)  6 I 3.64-3.77
Na (0.4505, 0.5495, 0.2892)  4 I 3.01-3.25
Na (0.5495, 0.4505, 0.7892)  4 I 3.01-3.25
Ca (0.2206, 0.7794, 0.8688)  6 I 3.13-3.24
Ca (0.7794, 0.2206, 0.3688)  6 I 3.13-3.24
I (0.0721, 0.9279, 0.9016)  2 Na 3.07, 1 Ca 3.16
I (0.2674, 0.7326, 0.5004)  2 Ca 3.24
I (0.2995, 0.7005, 0.2425)  2 Ca 3.20, 1 Na 3.25
I (0.3678, 0.6322, 0.8345)  1 Ca 3.13
I (0.4983, 0.5017, 0.6186)  1 Na 3.01
I (0.5017, 0.4983, 0.1186)  1 Na 3.01
I (0.6322, 0.3678, 0.3345)  1 Ca 3.13
I (0.7005, 0.2995, 0.7425)  2 Ca 3.20, 1 Na 3.25
I (0.7326, 0.2674, 0.0004)  2 Ca 3.24
I (0.9279, 0.0721, 0.4016)  2 Na 3.07, 1 Ca 3.16

## Properties
* crystal system: orthorhombic
* size of the total moment: 0.000 μB per atom
* energy: -52.51 eV per cell

---

Compound: NaCaSb2I
Source: the Alexandria database
Functional: PBE
Structure: optimized geometry

a = 5.9751 Å, b = 5.9751 Å, c = 6.1690 Å
α = 90.00°, β = 90.00°, γ = 90.00°
Last column: nearest neighbours and their distance in Å.
Atoms (fractional coordinates):
Na (0.0000, 0.0000, 0.0000)  4 I 4.23, 8 Sb 4.29
Ca (0.5000, 0.5000, 0.5000)  4 Sb 2.99, 2 I 3.08
Sb (0.0000, 0.5000, 0.5000)  2 Ca 2.99
Sb (0.5000, 0.0000, 0.5000)  2 Ca 2.99
I (0.5000, 0.5000, 0.0000)  2 Ca 3.08

## Properties
* E above lowest polymorph: 0 meV per atom
* crystal system: tetragonal
* size of the total moment: 0.384 μB per atom
* energy: -13.49 eV per cell

---

Compound: Na2SrCaI6
Source: the Alexandria database
Functional: PBE
Structure: optimized geometry

a = 9.0630 Å, b = 9.0630 Å, c = 6.3279 Å
α = 90.00°, β = 90.00°, γ = 90.00°
Last column: nearest neighbours and their distance in Å.
Atoms (fractional coordinates):
Na (0.0000, 0.5000, 0.0000)  4 I 3.27
Na (0.5000, 0.0000, 0.0000)  4 I 3.27
Sr (0.0000, 0.0000, 0.8603)  6 I 3.14-3.28
Ca (0.5000, 0.5000, 0.8689)  6 I 3.11-3.22
I (0.0000, 0.0000, 0.3644)  2 Sr 3.14-3.19
I (0.2553, 0.2553, 0.8979)  1 Ca 3.14, 2 Na 3.27, 1 Sr 3.28
I (0.2553, 0.7447, 0.8979)  1 Ca 3.14, 2 Na 3.27, 1 Sr 3.28
I (0.5000, 0.5000, 0.3780)  2 Ca 3.11-3.22
I (0.7447, 0.2553, 0.8979)  1 Ca 3.14, 2 Na 3.27, 1 Sr 3.28
I (0.7447, 0.7447, 0.8979)  1 Ca 3.14, 2 Na 3.27, 1 Sr 3.28

## Properties
* crystal system: tetragonal
* size of the total moment: 0.000 μB per atom
* energy: -29.46 eV per cell

---

Compound: NaCaTeI
Source: the Alexandria database
Functional: PBE
Structure: optimized geometry

a = 8.0324 Å, b = 8.0324 Å, c = 8.0324 Å
α = 33.27°, β = 33.27°, γ = 33.27°
Last column: nearest neighbours and their distance in Å.
Atoms (fractional coordinates):
Na (0.0000, 0.0000, 0.0000)  3 Te 3.15, 3 I 3.49
Ca (0.4781, 0.4781, 0.4781)  3 Te 3.10, 3 I 3.34
Te (0.7414, 0.7414, 0.7414)  3 Ca 3.10, 3 Na 3.15
I (0.2340, 0.2340, 0.2340)  3 Ca 3.34, 3 Na 3.49

## Properties
* crystal system: trigonal
* size of the total moment: 0.000 μB per atom
* energy: -13.55 eV per cell